Record 1
# GGA-PBE Tm3AlCu4, relaxed
# formation energy from the elements = -3.097 kcal/mol of atoms
# total magnetization = 0.00 μB per formula unit
data_Tm3AlCu4
_cell_length_a 3.693
_cell_length_b 6.432
_cell_length_c 13.663
_cell_angle_alpha 90.00
_cell_angle_beta 90.00
_cell_angle_gamma 90.00
_symmetry_space_group_name_H-M 'I m m m'
_symmetry_Int_Tables_number 71
_symmetry_space_group_name_Hall '-I 2 2'
loop_
_atom_site_label
_atom_site_type_symbol
_atom_site_fract_x
_atom_site_fract_y
_atom_site_fract_z
Tm1 Tm 0.000 0.000 0.000
Tm2 Tm 0.000 0.500 0.191
Al1 Al 0.000 0.000 0.500
Cu1 Cu 0.000 0.305 0.376

***

Record 2
# GGA-PBE TmAl7Cu5, relaxed
# formation energy from the elements = -7.800 kcal/mol of atoms
# total magnetization = 0.00 μB per formula unit
data_TmAl7Cu5
_cell_length_a 5.092
_cell_length_b 8.773
_cell_length_c 8.655
_cell_angle_alpha 90.00
_cell_angle_beta 90.00
_cell_angle_gamma 90.00
_symmetry_space_group_name_H-M 'I m m 2'
_symmetry_Int_Tables_number 44
loop_
_symmetry_equiv_pos_as_xyz
'x,y,z'
'-x,-y,z'
'-x,y,z'
'x,-y,z'
'x+1/2,y+1/2,z+1/2'
'-x+1/2,-y+1/2,z+1/2'
'-x+1/2,y+1/2,z+1/2'
'x+1/2,-y+1/2,z+1/2'
loop_
_atom_site_label
_atom_site_type_symbol
_atom_site_fract_x
_atom_site_fract_y
_atom_site_fract_z
Tm1 Tm 0.000 0.000 0.000
Al1 Al 0.000 0.000 0.350
Al2 Al 0.000 0.000 0.655
Al3 Al 0.000 0.295 0.490
Al4 Al 0.000 0.347 0.006
Al5 Al 0.000 0.500 0.724
Cu1 Cu 0.000 0.500 0.272
Cu2 Cu 0.249 0.254 0.746